[1]
Compound: RbZn2MoRh
Source: Alexandria via LeMat-Bulk
Functional: PBE
Structure: relaxed

Geometry as POSCAR:
```
RbZn2MoRh
1.0
-0.555 -4.899 0.863
5.237 -0.979 -2.187
2.007 0.574 4.549
Zn Mo Rh Rb
2 1 1 1
Cartesian
-0.278 -2.449 0.431
1.004 0.287 2.274
0.000 0.000 0.000
3.344 -2.652 1.612
2.618 -0.489 -1.094
```

## Properties
Energy of formation from the pure elements, eV per formula unit: 8.5
Crystal system: tetragonal
Total magnetic moment, μB per atom: 0.788
N(E_F), states/eV per cell: 3.62
Total energy, eV per atom: -2.648
SG: No. 123

[2]
Compound: RbZrMoRh2
Source: Alexandria via LeMat-Bulk
Functional: PBE
Structure: relaxed

Geometry as POSCAR:
```
RbZrMoRh2
1.0
-4.062 1.730 -1.823
-2.669 -2.854 3.237
0.078 3.550 3.195
Rh Zr Rb Mo
2 1 1 1
Cartesian
-2.031 0.865 -0.912
0.039 1.775 1.597
-3.326 1.213 2.304
-1.334 -1.427 1.619
0.000 0.000 0.000
```

## Properties
Energy of formation from the pure elements, eV per formula unit: 7.3
Crystal system: tetragonal
Total magnetic moment, μB per atom: 0.003
N(E_F), states/eV per cell: 4.30
Total energy, eV per atom: -5.558
SG: No. 123

[3]
Compound: RbMoRu2
Source: Alexandria via LeMat-Bulk
Functional: PBE
Structure: relaxed

Geometry as POSCAR:
```
RbMoRu2
1.0
-4.107 -2.154 0.170
-2.112 -0.651 4.081
-3.836 2.398 1.036
Mo Ru Rb
1 2 1
Cartesian
-5.028 -0.203 2.643
-7.542 -0.305 3.965
-2.514 -0.102 1.322
0.000 0.000 0.000
```

## Properties
Energy of formation from the pure elements, eV per formula unit: 6.1
Crystal system: cubic
Total magnetic moment, μB per atom: 0.000
N(E_F), states/eV per cell: 4.53
E above lowest polymorph, kJ/mol of formula units: 61.5
Total energy, eV per atom: -6.051
SG: No. 225

[4]
Compound: RbMoRu3
Source: Alexandria via LeMat-Bulk
Functional: PBE
Structure: relaxed

Geometry as POSCAR:
```
RbMoRu3
1.0
-2.792 3.602 0.624
-3.647 -2.688 -0.795
-0.258 -0.977 4.488
Mo Rb Ru
1 1 3
Cartesian
-3.348 -0.032 2.158
0.000 0.000 0.000
-0.129 -0.489 2.244
-1.823 -1.344 -0.398
-1.396 1.801 0.312
```

## Properties
Energy of formation from the pure elements, eV per formula unit: 16.6
Crystal system: cubic
Total magnetic moment, μB per atom: 0.000
N(E_F), states/eV per cell: 14.22
E above lowest polymorph, kJ/mol of formula units: 866.2
Total energy, eV per atom: -4.602
SG: No. 221

Number 1: calculated volume 28.9 A^3/atom. Number 2: calculated volume 23.2 A^3/atom. Number 3: calculated volume 17.7 A^3/atom. Number 4: calculated volume 19.5 A^3/atom.